Li4HgRh: relaxed, PBE-GGA.

Geometry as extended XYZ:
```
6
Lattice="0.000 3.492 3.492 3.492 0.000 3.492 3.492 3.492 0.000" Properties=species:S:1:pos:R:3 pbc="T T T"
Li 2.630 4.354 4.354
Li 4.354 4.354 2.630
Li 4.354 2.630 4.354
Li 2.630 2.630 2.630
Hg 0.000 0.000 0.000
Rh 5.238 5.238 5.238
```

## Properties
Energy above the lowest structure with this stoichiometry = 16.1 kJ/mol of atoms
Energy relative to the elements = -0.066 eV/atom
Total DFT energy (no corrections) = -2.618 eV per atom

***

LiHgRh2: relaxed, PBE-GGA.

Geometry as extended XYZ:
```
4
Lattice="-0.032 -6.940 -6.190 0.897 -8.380 -3.930 -1.887 -8.011 -4.330" Properties=species:S:1:pos:R:3 pbc="T T T"
Hg -0.510 -11.657 -7.220
Li -0.759 -17.348 -10.745
Rh -1.021 -23.327 -14.448
Rh -0.262 -5.994 -3.713
```

## Properties
Energy relative to the elements = 0.088 eV/atom
Total DFT energy (no corrections) = -4.141 eV per atom